# 1
DFT (PBE) results for an optimized crystal structure of Ho6As2PS3.

a b c (Å): 3.985 7.945 8.898
angles (deg): 102.69 102.94 90.00
Element x y z (fractional)
Ho (0.337, 0.920, 0.673)
Ho (0.665, 0.584, 0.331)
Ho (0.663, 0.080, 0.327)
Ho (0.999, 0.242, 0.999)
Ho (0.001, 0.758, 0.001)
Ho (0.335, 0.416, 0.669)
As (0.833, 0.667, 0.667)
As (0.167, 0.333, 0.333)
P (0.500, 0.000, 0.000)
S (0.500, 0.500, 0.000)
S (0.833, 0.166, 0.665)
S (0.167, 0.834, 0.335)

Computed properties:
Uncorrected formation energy ... -1.81 eV/atom
Total energy ... -6.353 eV per atom
M_tot ... 0.00 μB per cell


# 2
DFT (PBE) results for an optimized crystal structure of Ho4SbAs2P.

a b c (Å): 4.133 7.167 7.194
angles (deg): 70.64 90.00 90.00
Element x y z (fractional)
Ho (0.000, 0.759, 0.736)
Ho (0.000, 0.241, 0.264)
Ho (0.500, 0.750, 0.260)
Ho (0.500, 0.250, 0.740)
Sb (0.500, 0.500, 0.000)
As (0.000, 0.000, 0.000)
As (0.500, 0.000, 0.500)
P (0.000, 0.500, 0.500)

Computed properties:
Uncorrected formation energy ... -1.41 eV/atom
Total energy ... -6.048 eV per atom
M_tot ... 0.00 μB per cell


# 3
DFT (PBE) results for an optimized crystal structure of Ho6SbAs3P2.

a b c (Å): 4.099 8.239 9.176
angles (deg): 102.72 102.90 90.00
Element x y z (fractional)
Ho (0.327, 0.907, 0.654)
Ho (0.670, 0.580, 0.339)
Ho (0.673, 0.093, 0.346)
Ho (0.004, 0.265, 0.007)
Ho (0.996, 0.735, 0.993)
Ho (0.330, 0.420, 0.661)
Sb (0.500, 0.000, 0.000)
As (0.500, 0.500, 0.000)
As (0.835, 0.168, 0.671)
As (0.165, 0.832, 0.329)
P (0.832, 0.664, 0.664)
P (0.168, 0.336, 0.336)

Computed properties:
Uncorrected formation energy ... -1.46 eV/atom
Total energy ... -6.156 eV per atom
M_tot ... 0.00 μB per cell